# 1
Tl2TcMo | GGA-PBE | relaxed

The structure in CIF format:
```
data_Tl2TcMo
_chemical_formula_sum 'Tl8 Tc4 Mo4'
_cell_length_a 6.6991
_cell_length_b 6.6991
_cell_length_c 6.6991
_cell_angle_alpha 90.00
_cell_angle_beta 90.00
_cell_angle_gamma 90.00
_symmetry_space_group_name_H-M 'F m -3 m'
_symmetry_Int_Tables_number 225
_symmetry_space_group_name_Hall '-F 4 2 3'
loop_
_atom_site_label
_atom_site_type_symbol
_atom_site_fract_x
_atom_site_fract_y
_atom_site_fract_z
Tl1 Tl 0.2500 0.2500 0.2500
Tc1 Tc 0.0000 0.0000 0.0000
Mo1 Mo 0.0000 0.0000 0.5000
```

The value obtained for the formation energy is 0.944 eV/atom. The offset from the most stable computed form comes out at 581.0 meV/atom. As for the magnetization: 5.6 μB per cell.



# 2
Y2W2Au | GGA-PBE | relaxed

The structure in CIF format:
```
data_Y2W2Au
_chemical_formula_sum 'Y4 W4 Au2'
_cell_length_a 3.6896
_cell_length_b 3.6896
_cell_length_c 17.2494
_cell_angle_alpha 90.00
_cell_angle_beta 90.00
_cell_angle_gamma 90.00
_symmetry_space_group_name_H-M 'I 4/m m m'
_symmetry_Int_Tables_number 139
_symmetry_space_group_name_Hall '-I 4 2'
loop_
_atom_site_label
_atom_site_type_symbol
_atom_site_fract_x
_atom_site_fract_y
_atom_site_fract_z
Y1 Y 0.0000 0.0000 0.1042
W1 W 0.0000 0.5000 0.2500
Au1 Au 0.0000 0.0000 0.5000
```

The value obtained for the formation energy is 0.151 eV/atom. As for the magnetization: 0.0 μB per cell.



# 3
Cd5Te4Se | GGA-PBE | relaxed

The structure in CIF format:
```
data_Cd5Te4Se
_chemical_formula_sum 'Cd10 Te8 Se2'
_cell_length_a 4.6148
_cell_length_b 4.6148
_cell_length_c 37.7903
_cell_angle_alpha 90.00
_cell_angle_beta 90.00
_cell_angle_gamma 120.00
_symmetry_space_group_name_H-M 'P 3 m 1'
_symmetry_Int_Tables_number 156
loop_
_symmetry_equiv_pos_as_xyz
'x,y,z'
'-y,x-y,z'
'-x+y,-x,z'
'-y,-x,z'
'-x+y,y,z'
'x,x-y,z'
loop_
_atom_site_label
_atom_site_type_symbol
_atom_site_fract_x
_atom_site_fract_y
_atom_site_fract_z
Cd1 Cd 0.0000 0.0000 0.0000
Cd2 Cd 0.0000 0.0000 0.1931
Cd3 Cd 0.0000 0.0000 0.3863
Cd4 Cd 0.0000 0.0000 0.5909
Cd5 Cd 0.0000 0.0000 0.7954
Cd6 Cd 0.3333 0.6667 0.0908
Cd7 Cd 0.3333 0.6667 0.2838
Cd8 Cd 0.3333 0.6667 0.4886
Cd9 Cd 0.3333 0.6667 0.6932
Cd10 Cd 0.3333 0.6667 0.8977
Te1 Te 0.0000 0.0000 0.4621
Te2 Te 0.0000 0.0000 0.6666
Te3 Te 0.0000 0.0000 0.8712
Te4 Te 0.3333 0.6667 0.1667
Te5 Te 0.3333 0.6667 0.3599
Te6 Te 0.3333 0.6667 0.5644
Te7 Te 0.3333 0.6667 0.7689
Te8 Te 0.3333 0.6667 0.9735
Se1 Se 0.0000 0.0000 0.0711
Se2 Se 0.0000 0.0000 0.2643
```

The total energy is -50.9 eV/cell. As for the magnetization: 0.0 μB per cell.



# 4
Pm8TeSe4S3 | GGA-PBE | relaxed

The structure in CIF format:
```
data_Pm8TeSe4S3
_chemical_formula_sum 'Pm24 Te3 Se12 S9'
_cell_length_a 8.3587
_cell_length_b 8.3587
_cell_length_c 20.4738
_cell_angle_alpha 90.00
_cell_angle_beta 90.00
_cell_angle_gamma 120.00
_symmetry_space_group_name_H-M 'R -3 m'
_symmetry_Int_Tables_number 166
_symmetry_space_group_name_Hall '-R 3 2"'
loop_
_atom_site_label
_atom_site_type_symbol
_atom_site_fract_x
_atom_site_fract_y
_atom_site_fract_z
Pm1 Pm 0.0000 0.0000 0.2424
Pm2 Pm 0.0236 0.5118 0.7530
Te1 Te 0.0000 0.0000 0.5000
Se1 Se 0.0000 0.0000 0.0000
Se2 Se 0.0000 0.5000 0.0000
S1 S 0.0000 0.5000 0.5000
```

The total energy is -290.5 eV/cell. As for the magnetization: 0.0 μB per cell.



# 5
HoNpGe2 | GGA-PBE | relaxed

The structure in CIF format:
```
data_HoNpGe2
_chemical_formula_sum 'Ho3 Np3 Ge6'
_cell_length_a 4.7567
_cell_length_b 4.7567
_cell_length_c 13.9364
_cell_angle_alpha 90.00
_cell_angle_beta 90.00
_cell_angle_gamma 120.00
_symmetry_space_group_name_H-M 'R -3 m'
_symmetry_Int_Tables_number 166
_symmetry_space_group_name_Hall '-R 3 2"'
loop_
_atom_site_label
_atom_site_type_symbol
_atom_site_fract_x
_atom_site_fract_y
_atom_site_fract_z
Ho1 Ho 0.0000 0.0000 0.0000
Np1 Np 0.0000 0.0000 0.5000
Ge1 Ge 0.0000 0.0000 0.2482
```

The value obtained for the formation energy is -0.309 eV/atom. The offset from the most stable computed form comes out at 60.7 meV/atom. As for the magnetization: 12.1 μB per cell.



# 6
CaV2W | GGA-PBE | relaxed

The structure in CIF format:
```
data_CaV2W
_chemical_formula_sum 'Ca4 V8 W4'
_cell_length_a 4.6298
_cell_length_b 4.6298
_cell_length_c 17.4287
_cell_angle_alpha 90.00
_cell_angle_beta 90.00
_cell_angle_gamma 90.00
_symmetry_space_group_name_H-M 'I 41/a m d'
_symmetry_Int_Tables_number 141
loop_
_symmetry_equiv_pos_as_xyz
'x,y,z'
'-x,-y,-z'
'-y+1/4,x+3/4,z+1/4'
'y+1/4,-x+3/4,-z+1/4'
'-x+1/2,-y,z+1/2'
'x+1/2,y,-z+1/2'
'y+1/4,-x+1/4,z+3/4'
'-y+1/4,x+1/4,-z+3/4'
'x,-y,-z'
'-x,y,z'
'-y+1/4,-x+1/4,-z+3/4'
'y+1/4,x+1/4,z+3/4'
'-x+1/2,y,-z+1/2'
'x+1/2,-y,z+1/2'
'y+1/4,x+3/4,-z+1/4'
'-y+1/4,-x+3/4,z+1/4'
'x+1/2,y+1/2,z+1/2'
'-x+1/2,-y+1/2,-z+1/2'
'-y+3/4,x+1/4,z+3/4'
'y+3/4,-x+1/4,-z+3/4'
'-x,-y+1/2,z'
'x,y+1/2,-z'
'y+3/4,-x+3/4,z+1/4'
'-y+3/4,x+3/4,-z+1/4'
'x+1/2,-y+1/2,-z+1/2'
'-x+1/2,y+1/2,z+1/2'
'-y+3/4,-x+3/4,-z+1/4'
'y+3/4,x+3/4,z+1/4'
'-x,y+1/2,-z'
'x,-y+1/2,z'
'y+3/4,x+1/4,-z+3/4'
'-y+3/4,-x+1/4,z+3/4'
loop_
_atom_site_label
_atom_site_type_symbol
_atom_site_fract_x
_atom_site_fract_y
_atom_site_fract_z
Ca1 Ca 0.0000 0.2500 0.3750
V1 V 0.0000 0.0000 0.0000
W1 W 0.0000 0.2500 0.8750
```

The value obtained for the formation energy is 1.294 eV/atom. The offset from the most stable computed form comes out at 543.2 meV/atom. As for the magnetization: 0.0 μB per cell.



# 7
Ca4Cd2InHg | GGA-PBE | relaxed

The structure in CIF format:
```
data_Ca4Cd2InHg
_chemical_formula_sum 'Ca12 Cd6 In3 Hg3'
_cell_length_a 5.4078
_cell_length_b 5.4078
_cell_length_c 26.6306
_cell_angle_alpha 90.00
_cell_angle_beta 90.00
_cell_angle_gamma 120.00
_symmetry_space_group_name_H-M 'R -3 m'
_symmetry_Int_Tables_number 166
_symmetry_space_group_name_Hall '-R 3 2"'
loop_
_atom_site_label
_atom_site_type_symbol
_atom_site_fract_x
_atom_site_fract_y
_atom_site_fract_z
Ca1 Ca 0.0000 0.0000 0.1235
Ca2 Ca 0.0000 0.0000 0.3737
Cd1 Cd 0.0000 0.0000 0.2481
In1 In 0.0000 0.0000 0.5000
Hg1 Hg 0.0000 0.0000 0.0000
```

The value obtained for the formation energy is -0.445 eV/atom. As for the magnetization: 0.0 μB per cell.



# 8
PrNd4Zn | GGA-PBE | relaxed

The structure in CIF format:
```
data_PrNd4Zn
_chemical_formula_sum 'Pr2 Nd8 Zn2'
_cell_length_a 12.5733
_cell_length_b 3.7737
_cell_length_c 8.8184
_cell_angle_alpha 90.00
_cell_angle_beta 112.37
_cell_angle_gamma 90.00
_symmetry_space_group_name_H-M 'C 1 m 1'
_symmetry_Int_Tables_number 8
loop_
_symmetry_equiv_pos_as_xyz
'x,y,z'
'x,-y,z'
'x+1/2,y+1/2,z'
'x+1/2,-y+1/2,z'
loop_
_atom_site_label
_atom_site_type_symbol
_atom_site_fract_x
_atom_site_fract_y
_atom_site_fract_z
Pr1 Pr 0.0000 0.0000 0.0000
Nd1 Nd 0.1392 0.5000 0.3606
Nd2 Nd 0.1655 0.5000 0.7958
Nd3 Nd 0.3338 0.0000 0.2033
Nd4 Nd 0.3604 0.0000 0.6393
Zn1 Zn 0.4994 0.5000 0.4993
```

The value obtained for the formation energy is -0.080 eV/atom. The offset from the most stable computed form comes out at 16.4 meV/atom. As for the magnetization: 0.0 μB per cell.



# 9
AlBi | GGA-PBE | relaxed

The structure in CIF format:
```
data_AlBi
_chemical_formula_sum 'Al16 Bi16'
_cell_length_a 9.6458
_cell_length_b 11.5316
_cell_length_c 11.9808
_cell_angle_alpha 90.00
_cell_angle_beta 90.00
_cell_angle_gamma 90.00
_symmetry_space_group_name_H-M 'F d d d'
_symmetry_Int_Tables_number 70
loop_
_symmetry_equiv_pos_as_xyz
'x,y,z'
'-x,-y,-z'
'-x+1/4,-y+1/4,z'
'x+1/4,y+1/4,-z'
'x,-y+1/4,-z+1/4'
'-x,y+1/4,z+1/4'
'-x+1/4,y,-z+1/4'
'x+1/4,-y,z+1/4'
'x,y+1/2,z+1/2'
'-x,-y+1/2,-z+1/2'
'-x+1/4,-y+3/4,z+1/2'
'x+1/4,y+3/4,-z+1/2'
'x,-y+3/4,-z+3/4'
'-x,y+3/4,z+3/4'
'-x+1/4,y+1/2,-z+3/4'
'x+1/4,-y+1/2,z+3/4'
'x+1/2,y,z+1/2'
'-x+1/2,-y,-z+1/2'
'-x+3/4,-y+1/4,z+1/2'
'x+3/4,y+1/4,-z+1/2'
'x+1/2,-y+1/4,-z+3/4'
'-x+1/2,y+1/4,z+3/4'
'-x+3/4,y,-z+3/4'
'x+3/4,-y,z+3/4'
'x+1/2,y+1/2,z'
'-x+1/2,-y+1/2,-z'
'-x+3/4,-y+3/4,z'
'x+3/4,y+3/4,-z'
'x+1/2,-y+3/4,-z+1/4'
'-x+1/2,y+3/4,z+1/4'
'-x+3/4,y+1/2,-z+1/4'
'x+3/4,-y+1/2,z+1/4'
loop_
_atom_site_label
_atom_site_type_symbol
_atom_site_fract_x
_atom_site_fract_y
_atom_site_fract_z
Al1 Al 0.1250 0.2640 0.1250
Bi1 Bi 0.1250 0.1250 0.3180
```

The value obtained for the formation energy is 0.269 eV/atom. As for the magnetization: 0.0 μB per cell.



# 10
Cd12Ag6Hg | GGA-PBE | relaxed

The structure in CIF format:
```
data_Cd12Ag6Hg
_chemical_formula_sum 'Cd36 Ag18 Hg3'
_cell_length_a 11.8489
_cell_length_b 11.8489
_cell_length_c 9.8714
_cell_angle_alpha 90.00
_cell_angle_beta 90.00
_cell_angle_gamma 120.00
_symmetry_space_group_name_H-M 'R -3'
_symmetry_Int_Tables_number 148
_symmetry_space_group_name_Hall '-R 3'
loop_
_atom_site_label
_atom_site_type_symbol
_atom_site_fract_x
_atom_site_fract_y
_atom_site_fract_z
Cd1 Cd 0.9998 0.2616 0.9996
Cd2 Cd 0.0774 0.5394 0.1157
Ag1 Ag 0.0840 0.9148 0.7494
Hg1 Hg 0.0000 0.0000 0.0000
```

The value obtained for the formation energy is 0.038 eV/atom. The offset from the most stable computed form comes out at 13.4 meV/atom. As for the magnetization: 0.0 μB per cell.



# 11
ScSnSb3 | GGA-PBE | relaxed

The structure in CIF format:
```
data_ScSnSb3
_chemical_formula_sum 'Sc1 Sn1 Sb3'
_cell_length_a 5.4722
_cell_length_b 5.4722
_cell_length_c 5.4722
_cell_angle_alpha 90.00
_cell_angle_beta 90.00
_cell_angle_gamma 90.00
_symmetry_space_group_name_H-M 'P m -3 m'
_symmetry_Int_Tables_number 221
_symmetry_space_group_name_Hall '-P 4 2 3'
loop_
_atom_site_label
_atom_site_type_symbol
_atom_site_fract_x
_atom_site_fract_y
_atom_site_fract_z
Sc1 Sc 0.0000 0.0000 0.0000
Sn1 Sn 0.5000 0.5000 0.5000
Sb1 Sb 0.0000 0.0000 0.5000
```

The offset from the most stable computed form comes out at 0.0 meV/atom. As for the magnetization: 0.0 μB per cell.



# 12
Li2PuTlI6 | GGA-PBE | relaxed

The structure in CIF format:
```
data_Li2PuTlI6
_chemical_formula_sum 'Li6 Pu3 Tl3 I18'
_cell_length_a 7.8745
_cell_length_b 7.8745
_cell_length_c 21.7665
_cell_angle_alpha 90.00
_cell_angle_beta 90.00
_cell_angle_gamma 120.00
_symmetry_space_group_name_H-M 'R 3'
_symmetry_Int_Tables_number 146
_symmetry_space_group_name_Hall 'R 3'
loop_
_atom_site_label
_atom_site_type_symbol
_atom_site_fract_x
_atom_site_fract_y
_atom_site_fract_z
Li1 Li 0.0000 0.0000 0.0000
Li2 Li 0.0000 0.0000 0.4922
Pu1 Pu 0.0000 0.0000 0.8133
Tl1 Tl 0.0000 0.0000 0.2995
I1 I 0.0037 0.3486 0.7433
I2 I 0.0710 0.7324 0.5725
```

The total energy is -119.5 eV/cell. As for the magnetization: 15.0 μB per cell.



# 13
Tb5Zn2Tc | GGA-PBE | relaxed

The structure in CIF format:
```
data_Tb5Zn2Tc
_chemical_formula_sum 'Tb10 Zn4 Tc2'
_cell_length_a 6.5077
_cell_length_b 12.1200
_cell_length_c 5.0201
_cell_angle_alpha 90.00
_cell_angle_beta 90.00
_cell_angle_gamma 90.00
_symmetry_space_group_name_H-M 'P b a m'
_symmetry_Int_Tables_number 55
loop_
_symmetry_equiv_pos_as_xyz
'x,y,z'
'-x,-y,-z'
'-x,-y,z'
'x,y,-z'
'x+1/2,-y+1/2,-z'
'-x+1/2,y+1/2,z'
'-x+1/2,y+1/2,-z'
'x+1/2,-y+1/2,z'
loop_
_atom_site_label
_atom_site_type_symbol
_atom_site_fract_x
_atom_site_fract_y
_atom_site_fract_z
Tb1 Tb 0.0000 0.0000 0.0000
Tb2 Tb 0.1410 0.2858 0.0000
Tb3 Tb 0.1618 0.6039 0.5000
Zn1 Zn 0.1254 0.8613 0.5000
Tc1 Tc 0.0000 0.5000 0.0000
```

The value obtained for the formation energy is -0.168 eV/atom. As for the magnetization: 0.0 μB per cell.



# 14
ScPb | GGA-PBE | relaxed

The structure in CIF format:
```
data_ScPb
_chemical_formula_sum 'Sc8 Pb8'
_cell_length_a 11.4363
_cell_length_b 11.4363
_cell_length_c 3.4117
_cell_angle_alpha 90.00
_cell_angle_beta 90.00
_cell_angle_gamma 90.00
_symmetry_space_group_name_H-M 'P 4/m'
_symmetry_Int_Tables_number 83
loop_
_symmetry_equiv_pos_as_xyz
'x,y,z'
'-x,-y,-z'
'-y,x,z'
'y,-x,-z'
'-x,-y,z'
'x,y,-z'
'y,-x,z'
'-y,x,-z'
loop_
_atom_site_label
_atom_site_type_symbol
_atom_site_fract_x
_atom_site_fract_y
_atom_site_fract_z
Sc1 Sc 0.0825 0.6238 0.0000
Sc2 Sc 0.1544 0.3917 0.5000
Pb1 Pb 0.1056 0.1699 0.0000
Pb2 Pb 0.3171 0.5948 0.5000
```

The value obtained for the formation energy is -0.053 eV/atom. As for the magnetization: 0.0 μB per cell.



# 15
Er2MgZr4 | GGA-PBE | relaxed

The structure in CIF format:
```
data_Er2MgZr4
_chemical_formula_sum 'Er4 Mg2 Zr8'
_cell_length_a 3.2081
_cell_length_b 34.3540
_cell_length_c 3.2141
_cell_angle_alpha 90.00
_cell_angle_beta 90.00
_cell_angle_gamma 90.00
_symmetry_space_group_name_H-M 'C m m m'
_symmetry_Int_Tables_number 65
_symmetry_space_group_name_Hall '-C 2 2'
loop_
_atom_site_label
_atom_site_type_symbol
_atom_site_fract_x
_atom_site_fract_y
_atom_site_fract_z
Er1 Er 0.0000 0.2029 0.0000
Mg1 Mg 0.0000 0.5000 0.5000
Zr1 Zr 0.0000 0.0680 0.0000
Zr2 Zr 0.0000 0.3671 0.5000
```

The value obtained for the formation energy is 0.088 eV/atom. As for the magnetization: 0.0 μB per cell.



# 16
CrBP3 | GGA-PBE | relaxed

The structure in CIF format:
```
data_CrBP3
_chemical_formula_sum 'Cr1 B1 P3'
_cell_length_a 4.3909
_cell_length_b 4.3909
_cell_length_c 4.3909
_cell_angle_alpha 90.00
_cell_angle_beta 90.00
_cell_angle_gamma 90.00
_symmetry_space_group_name_H-M 'P m -3 m'
_symmetry_Int_Tables_number 221
_symmetry_space_group_name_Hall '-P 4 2 3'
loop_
_atom_site_label
_atom_site_type_symbol
_atom_site_fract_x
_atom_site_fract_y
_atom_site_fract_z
Cr1 Cr 0.0000 0.0000 0.0000
B1 B 0.5000 0.5000 0.5000
P1 P 0.0000 0.0000 0.5000
```

The value obtained for the formation energy is 1.233 eV/atom. The offset from the most stable computed form comes out at 186.0 meV/atom. As for the magnetization: 0.1 μB per cell.



# 17
MnInAu | GGA-PBE | relaxed

The structure in CIF format:
```
data_MnInAu
_chemical_formula_sum 'Mn1 In1 Au1'
_cell_length_a 4.6736
_cell_length_b 4.6736
_cell_length_c 2.9872
_cell_angle_alpha 90.00
_cell_angle_beta 90.00
_cell_angle_gamma 120.00
_symmetry_space_group_name_H-M 'P 3 m 1'
_symmetry_Int_Tables_number 156
loop_
_symmetry_equiv_pos_as_xyz
'x,y,z'
'-y,x-y,z'
'-x+y,-x,z'
'-y,-x,z'
'-x+y,y,z'
'x,x-y,z'
loop_
_atom_site_label
_atom_site_type_symbol
_atom_site_fract_x
_atom_site_fract_y
_atom_site_fract_z
Mn1 Mn 0.0000 0.0000 0.0000
In1 In 0.3333 0.6667 0.5035
Au1 Au 0.6667 0.3333 0.4969
```

The value obtained for the formation energy is 0.088 eV/atom. As for the magnetization: 3.7 μB per cell.